# 1
Entry from Alexandria via LeMat-Bulk: a geometry-optimized TlCrTeN2 structure (GGA-PBEsol).

Properties
E_form (uncorrected): 0.626 eV per atom
SG: P4/mmm

abc: 3.900 3.900 5.410
angles: 90.00 90.00 90.00
Fractional positions:
N 0.500 0.000 0.000
N 0.000 0.500 0.000
Cr 0.000 0.000 0.000
Te 0.000 0.000 0.500
Tl 0.500 0.500 0.500

=====

# 2
Entry from Alexandria via LeMat-Bulk: a geometry-optimized Ba3YBr structure (GGA-PBEsol).

Properties
E_form (uncorrected): -0.316 eV per atom
SG: Pm-3m

abc: 6.194 6.194 6.194
angles: 90.00 90.00 90.00
Fractional positions:
Y 0.500 0.500 0.500
Ba 0.000 0.500 0.000
Ba 0.500 0.000 0.000
Ba 0.000 0.000 0.500
Br 0.000 0.000 0.000